(1)
! TbHo4Bi5 (PBE, optimized geometry); values from VASP
&SYSTEM
  ibrav = 0, nat = 10, ntyp = 3
/
ATOMIC_SPECIES
Tb 158.93 Tb.upf
Ho 164.93 Ho.upf
Bi 208.98 Bi.upf
CELL_PARAMETERS angstrom
-2.2319 2.2319 15.7782
2.2319 -2.2319 15.7782
2.2319 2.2319 -15.7782
ATOMIC_POSITIONS crystal
Tb 0.0000 0.0000 0.0000
Ho 0.2003 0.2003 0.0000
Ho 0.4000 0.4000 0.0000
Ho 0.6000 0.6000 0.0000
Ho 0.7997 0.7997 0.0000
Bi 0.1005 0.1005 0.0000
Bi 0.3001 0.3001 0.0000
Bi 0.5000 0.5000 0.0000
Bi 0.6999 0.6999 0.0000
Bi 0.8995 0.8995 0.0000
! Total magnetization in μB per formula unit: 0.00
! Formation energy in eV/atom: -0.85
! SG: I4/mmm (139)

---

(2)
! KPrSnTe3 (PBE, optimized geometry); values from VASP
&SYSTEM
  ibrav = 0, nat = 12, ntyp = 4
/
ATOMIC_SPECIES
K 39.10 K.upf
Pr 140.91 Pr.upf
Sn 118.71 Sn.upf
Te 127.60 Te.upf
CELL_PARAMETERS angstrom
9.3235 0.0000 0.0000
0.0000 4.5191 0.0000
-3.4965 0.0000 11.4638
ATOMIC_POSITIONS crystal
K 0.2282 0.2500 0.2709
K 0.7718 0.7500 0.7291
Pr 0.3592 0.7500 0.8425
Pr 0.6408 0.2500 0.1575
Sn 0.1303 0.2500 0.5552
Sn 0.8697 0.7500 0.4448
Te 0.0985 0.2500 0.7874
Te 0.3486 0.7500 0.5689
Te 0.3904 0.7500 0.1135
Te 0.6096 0.2500 0.8865
Te 0.6514 0.2500 0.4311
Te 0.9015 0.7500 0.2126
! Total magnetization in μB per formula unit: 0.00
! Energy relative to the elements, uncorrected in eV per atom: -1.003
! SG: P2_1/m (11)

---

(3)
! FeNi2Ir (PBE, optimized geometry); values from VASP
&SYSTEM
  ibrav = 0, nat = 8, ntyp = 3
/
ATOMIC_SPECIES
Fe 55.84 Fe.upf
Ni 58.69 Ni.upf
Ir 192.22 Ir.upf
CELL_PARAMETERS angstrom
2.7526 0.0000 0.0000
0.0000 4.3757 0.0000
0.0000 0.0000 8.3727
ATOMIC_POSITIONS crystal
Fe 0.0000 0.0000 0.0000
Fe 0.5000 0.5000 0.0000
Ni 0.0000 0.0000 0.5230
Ni 0.0000 0.5000 0.7635
Ni 0.5000 0.0000 0.7635
Ni 0.5000 0.5000 0.5230
Ir 0.0000 0.5000 0.2612
Ir 0.5000 0.0000 0.2612
! Total magnetization in μB per formula unit: 4.73
! Formation energy in eV/atom: 0.16
! SG: Cmm2 (35)

---

no.,final energy (eV/cell)
1,-50.80
2,-50.64
3,-56.49